Below is an optimized crystal structure of Al2AsP, with properties calculated at the PBE-GGA level.

a b c (Å): 6.2481 6.2481 6.2481
angles (deg): 148.02 147.03 46.59
With the nearest neighbours (Å) after each atom.
Element x y z (fractional)
Al (0.0000, 0.0000, 0.0000)  2 P 2.51, 4 As 2.70
Al (0.7299, 0.2299, 0.5000)  4 P 2.60, 2 As 2.68
As (0.4055, 0.4055, 0.0000)  6 Al 2.68-2.70
P (0.1597, 0.6597, 0.5000)  6 Al 2.51-2.60

Calculated values
- Crystal system: orthorhombic
- Symmetry: Imm2, No. 44
- Energy relative to the lowest polymorph listed for this composition: 491 meV/atom
- DOS(E_F): 0.41 states/eV per atom
- Raw total energy: -4.44 eV per atom
- Density: 3.79 g/cm3